1.
An optimized crystal structure of Tl3ReCl2F6. Source: Alexandria, functional PBE-GGA.

a = 8.8372 Å, b = 8.8372 Å, c = 4.7521 Å
α = 91.96°, β = 91.96°, γ = 53.06°
Fractional positions:
Tl1 0.0000 0.0000 0.0000
Tl2 0.0000 0.5000 0.5000
Tl3 0.5000 0.0000 0.5000
Re1 0.5000 0.5000 0.5000
Cl1 0.1939 0.1939 0.9804
Cl2 0.8061 0.8061 0.0196
F1 0.2731 0.6285 0.7197
F2 0.3715 0.7269 0.2803
F3 0.3967 0.3967 0.2778
F4 0.6033 0.6033 0.7222
F5 0.6285 0.2731 0.7197
F6 0.7269 0.3715 0.2803

Values from the calculation:
Crystal system: monoclinic
Final energy, eV per atom: -4.5917



2.
An optimized crystal structure of Tl2ReCl4F2. Source: Alexandria, functional PBE-GGA.

a = 6.7565 Å, b = 6.7565 Å, c = 6.2074 Å
α = 105.96°, β = 105.96°, γ = 63.61°
Fractional positions:
Tl1 0.1968 0.1968 0.2728
Tl2 0.8032 0.8032 0.7272
Re1 0.5000 0.5000 0.0000
Cl1 0.1828 0.6580 0.1819
Cl2 0.3420 0.8172 0.8181
Cl3 0.6580 0.1828 0.1819
Cl4 0.8172 0.3420 0.8181
F1 0.3438 0.3438 0.7397
F2 0.6562 0.6562 0.2603

Values from the calculation:
Crystal system: monoclinic
Final energy, eV per atom: -4.3712



3.
An optimized crystal structure of TlReClF2. Source: Alexandria, functional PBE-GGA.

a = 4.2837 Å, b = 4.2837 Å, c = 5.7564 Å
α = 90.00°, β = 90.00°, γ = 90.00°
Fractional positions:
Tl1 0.0000 0.0000 0.0000
Re1 0.5000 0.5000 0.0000
Cl1 0.0000 0.0000 0.5000
F1 0.0000 0.5000 0.5000
F2 0.5000 0.0000 0.5000

Values from the calculation:
Crystal system: tetragonal
Final energy, eV per atom: -3.3790



4.
An optimized crystal structure of TlReClF2. Source: Alexandria, functional PBE-GGA.

a = 4.4038 Å, b = 4.4038 Å, c = 5.9318 Å
α = 90.00°, β = 90.00°, γ = 90.00°
Fractional positions:
Tl1 0.0000 0.0000 0.0000
Re1 0.0000 0.0000 0.5000
Cl1 0.5000 0.5000 0.5000
F1 0.0000 0.5000 0.0000
F2 0.5000 0.0000 0.0000

Values from the calculation:
Crystal system: tetragonal
Final energy, eV per atom: -4.0488



5.
An optimized crystal structure of RhClF3. Source: Alexandria, functional PBE-GGA.

a = 4.1169 Å, b = 4.1169 Å, c = 4.1169 Å
α = 90.00°, β = 90.00°, γ = 90.00°
Fractional positions:
Rh1 0.0000 0.0000 0.0000
Cl1 0.5000 0.5000 0.5000
F1 0.0000 0.0000 0.5000
F2 0.0000 0.5000 0.0000
F3 0.5000 0.0000 0.0000

Values from the calculation:
Crystal system: cubic
Final energy, eV per atom: -3.6283



6.
An optimized crystal structure of RhCl2F8. Source: Alexandria, functional PBE-GGA.

a = 6.7806 Å, b = 6.7806 Å, c = 5.4668 Å
α = 102.23°, β = 102.23°, γ = 51.15°
Fractional positions:
Rh1 0.0000 0.0000 0.0000
Cl1 0.2591 0.2591 0.4751
Cl2 0.7409 0.7409 0.5249
F1 0.0815 0.0815 0.3525
F2 0.1284 0.6749 0.0674
F3 0.3251 0.8716 0.9326
F4 0.3970 0.3970 0.5817
F5 0.6030 0.6030 0.4183
F6 0.6749 0.1284 0.0674
F7 0.8716 0.3251 0.9326
F8 0.9185 0.9185 0.6475

Values from the calculation:
Crystal system: monoclinic
Final energy, eV per atom: -3.3221



7.
An optimized crystal structure of RhClF3. Source: Alexandria, functional PBE-GGA.

a = 4.3521 Å, b = 4.3521 Å, c = 4.3521 Å
α = 90.00°, β = 90.00°, γ = 90.00°
Fractional positions:
Rh1 0.0000 0.0000 0.0000
Cl1 0.5000 0.5000 0.5000
F1 0.0000 0.5000 0.5000
F2 0.5000 0.0000 0.5000
F3 0.5000 0.5000 0.0000

Values from the calculation:
Crystal system: cubic
Final energy, eV per atom: -2.6677



8.
An optimized crystal structure of RhClF3. Source: Alexandria, functional PBE-GGA.

a = 5.5857 Å, b = 6.0276 Å, c = 4.9381 Å
α = 90.00°, β = 90.00°, γ = 90.00°
Fractional positions:
Rh1 0.0000 0.0106 0.0000
Rh2 0.5000 0.9894 0.5000
Cl1 0.0000 0.3387 0.7895
Cl2 0.5000 0.6613 0.2895
F1 0.0000 0.7340 0.1963
F2 0.2475 0.8718 0.7546
F3 0.2525 0.1282 0.2546
F4 0.5000 0.2660 0.6963
F5 0.7475 0.1282 0.2546
F6 0.7525 0.8718 0.7546

Values from the calculation:
Crystal system: orthorhombic
Final energy, eV per atom: -4.0805



9.
An optimized crystal structure of Rh3ClF. Source: Alexandria, functional PBE-GGA.

a = 4.4364 Å, b = 4.4364 Å, c = 4.4364 Å
α = 90.00°, β = 90.00°, γ = 90.00°
Fractional positions:
Rh1 0.0000 0.0000 0.5000
Rh2 0.0000 0.5000 0.0000
Rh3 0.5000 0.0000 0.0000
Cl1 0.0000 0.0000 0.0000
F1 0.5000 0.5000 0.5000

Values from the calculation:
Crystal system: cubic
Final energy, eV per atom: -4.3371



10.
An optimized crystal structure of RhS2ClF. Source: Alexandria, functional PBE-GGA.

a = 4.0913 Å, b = 4.0913 Å, c = 5.5853 Å
α = 90.00°, β = 90.00°, γ = 90.00°
Fractional positions:
Rh1 0.0000 0.0000 0.0000
S1 0.0000 0.5000 0.5000
S2 0.5000 0.0000 0.5000
Cl1 0.5000 0.5000 0.0000
F1 0.5000 0.5000 0.5000

Values from the calculation:
Crystal system: tetragonal
Final energy, eV per atom: -2.9787



11.
An optimized crystal structure of RhS2ClF. Source: Alexandria, functional PBE-GGA.

a = 4.5417 Å, b = 4.5417 Å, c = 4.8877 Å
α = 90.00°, β = 90.00°, γ = 90.00°
Fractional positions:
Rh1 0.0000 0.0000 0.0000
S1 0.0000 0.5000 0.0000
S2 0.5000 0.0000 0.0000
Cl1 0.0000 0.0000 0.5000
F1 0.5000 0.5000 0.5000

Values from the calculation:
Crystal system: tetragonal
Final energy, eV per atom: -3.5869



12.
An optimized crystal structure of ScRhCl2F. Source: Alexandria, functional PBE-GGA.

a = 4.6686 Å, b = 4.6686 Å, c = 4.9441 Å
α = 90.00°, β = 90.00°, γ = 90.00°
Fractional positions:
Sc1 0.0000 0.0000 0.0000
Rh1 0.0000 0.0000 0.5000
Cl1 0.0000 0.5000 0.5000
Cl2 0.5000 0.0000 0.5000
F1 0.5000 0.5000 0.0000

Values from the calculation:
Crystal system: tetragonal
Final energy, eV per atom: -4.6058